# 1
# TbTmTeP (PBE-GGA, relaxed)
data_TbTmTeP
_chemical_formula_sum 'Tb3 Tm3 Te3 P3'
_space_group_name_H-M_alt 'R 3 m'
_space_group_IT_number 160
_space_group_name_Hall 'R 3 -2"'
_cell_length_a 4.0509
_cell_length_b 4.0509
_cell_length_c 21.6436
_cell_angle_alpha 90.00
_cell_angle_beta 90.00
_cell_angle_gamma 120.00
loop_
_atom_site_label
_atom_site_fract_x
_atom_site_fract_y
_atom_site_fract_z
Tb1 0.0000 0.0000 0.0000
Tm1 0.0000 0.0000 0.1943
Te1 0.0000 0.0000 0.4314
P1 0.0000 0.0000 0.5973
# E_tot ... -5.911 eV per atom
# DOS at the Fermi energy ... 7.21 states/eV per cell
# Size of the total moment ... 0.00 μB/f.u.
# Formation energy without anion corrections ... -1.498 eV per atom

# 2
# Tb8ZnTe4P3 (PBE-GGA, relaxed)
data_Tb8ZnTe4P3
_chemical_formula_sum 'Tb24 Zn3 Te12 P9'
_space_group_name_H-M_alt 'R -3 m'
_space_group_IT_number 166
_space_group_name_Hall '-R 3 2"'
_cell_length_a 8.3369
_cell_length_b 8.3369
_cell_length_c 21.1646
_cell_angle_alpha 90.00
_cell_angle_beta 90.00
_cell_angle_gamma 120.00
loop_
_atom_site_label
_atom_site_fract_x
_atom_site_fract_y
_atom_site_fract_z
Tb1 0.0000 0.0000 0.2364
Tb2 0.0047 0.5023 0.7604
Zn1 0.0000 0.0000 0.5000
Te1 0.0000 0.0000 0.0000
Te2 0.0000 0.5000 0.0000
P1 0.0000 0.5000 0.5000
# E_tot ... -5.547 eV per atom
# DOS at the Fermi energy ... 22.99 states/eV per cell
# Size of the total moment ... 0.00 μB/f.u.
# Formation energy without anion corrections ... -1.353 eV per atom

# 3
# TbTh3P4 (PBE-GGA, relaxed)
data_TbTh3P4
_chemical_formula_sum 'Tb1 Th3 P4'
_space_group_name_H-M_alt 'P m -3 m'
_space_group_IT_number 221
_space_group_name_Hall '-P 4 2 3'
_cell_length_a 5.8244
_cell_length_b 5.8244
_cell_length_c 5.8244
_cell_angle_alpha 90.00
_cell_angle_beta 90.00
_cell_angle_gamma 90.00
loop_
_atom_site_label
_atom_site_fract_x
_atom_site_fract_y
_atom_site_fract_z
Tb1 0.0000 0.0000 0.0000
Th1 0.0000 0.5000 0.5000
P1 0.0000 0.0000 0.5000
P2 0.5000 0.5000 0.5000
# E_tot ... -7.636 eV per atom
# Calculated formation energy ... -1.569 eV/atom
# DOS at the Fermi energy ... 2.97 states/eV per cell
# Size of the total moment ... 0.00 μB/f.u.

# 4
# TbTh5P6 (PBE-GGA, relaxed)
data_TbTh5P6
_chemical_formula_sum 'Tb2 Th10 P12'
_space_group_name_H-M_alt 'C 1 2/m 1'
_space_group_IT_number 12
_cell_length_a 7.1426
_cell_length_b 12.3759
_cell_length_c 7.1455
_cell_angle_alpha 90.00
_cell_angle_beta 109.50
_cell_angle_gamma 90.00
loop_
_space_group_symop_operation_xyz
'x,y,z'
'-x,-y,-z'
'-x,y,-z'
'x,-y,z'
'x+1/2,y+1/2,z'
'-x+1/2,-y+1/2,-z'
'-x+1/2,y+1/2,-z'
'x+1/2,-y+1/2,z'
loop_
_atom_site_label
_atom_site_fract_x
_atom_site_fract_y
_atom_site_fract_z
Tb1 0.0000 0.0000 0.0000
Th1 0.0000 0.1667 0.5000
Th2 0.0000 0.3337 0.0000
Th3 0.0000 0.5000 0.5000
P1 0.2471 0.0000 0.7518
P2 0.2474 0.1651 0.2476
# E_tot ... -7.743 eV per atom
# Calculated formation energy ... -1.560 eV/atom
# DOS at the Fermi energy ... 12.44 states/eV per cell
# Size of the total moment ... 0.00 μB/f.u.

# 5
# TbTh2P3 (PBE-GGA, relaxed)
data_TbTh2P3
_chemical_formula_sum 'Tb2 Th4 P6'
_space_group_name_H-M_alt 'I m m m'
_space_group_IT_number 71
_space_group_name_Hall '-I 2 2'
_cell_length_a 4.1028
_cell_length_b 5.8096
_cell_length_c 12.3386
_cell_angle_alpha 90.00
_cell_angle_beta 90.00
_cell_angle_gamma 90.00
loop_
_atom_site_label
_atom_site_fract_x
_atom_site_fract_y
_atom_site_fract_z
Tb1 0.0000 0.0000 0.0000
Th1 0.0000 0.0000 0.3337
P1 0.0000 0.5000 0.0000
P2 0.0000 0.5000 0.3362
# E_tot ... -7.525 eV per atom
# Calculated formation energy ... -1.575 eV/atom
# DOS at the Fermi energy ... 4.73 states/eV per cell
# Size of the total moment ... 0.00 μB/f.u.

# 6
# Tb5ThP6 (PBE-GGA, relaxed)
data_Tb5ThP6
_chemical_formula_sum 'Tb10 Th2 P12'
_space_group_name_H-M_alt 'C 1 2/m 1'
_space_group_IT_number 12
_cell_length_a 7.0186
_cell_length_b 12.1444
_cell_length_c 7.0144
_cell_angle_alpha 90.00
_cell_angle_beta 109.49
_cell_angle_gamma 90.00
loop_
_space_group_symop_operation_xyz
'x,y,z'
'-x,-y,-z'
'-x,y,-z'
'x,-y,z'
'x+1/2,y+1/2,z'
'-x+1/2,-y+1/2,-z'
'-x+1/2,y+1/2,-z'
'x+1/2,-y+1/2,z'
loop_
_atom_site_label
_atom_site_fract_x
_atom_site_fract_y
_atom_site_fract_z
Tb1 0.0000 0.0000 0.0000
Tb2 0.0000 0.1666 0.5000
Tb3 0.0000 0.3334 0.0000
Th1 0.0000 0.5000 0.5000
P1 0.2485 0.0000 0.7508
P2 0.2485 0.1676 0.2482
# E_tot ... -6.872 eV per atom
# Calculated formation energy ... -1.619 eV/atom
# DOS at the Fermi energy ... 6.43 states/eV per cell
# Size of the total moment ... 0.00 μB/f.u.

# 7
# TbThP (PBE-GGA, relaxed)
data_TbThP
_chemical_formula_sum 'Tb2 Th2 P2'
_space_group_name_H-M_alt 'P 4/m m m'
_space_group_IT_number 123
_space_group_name_Hall '-P 4 2'
_cell_length_a 3.6381
_cell_length_b 3.6381
_cell_length_c 11.0461
_cell_angle_alpha 90.00
_cell_angle_beta 90.00
_cell_angle_gamma 90.00
loop_
_atom_site_label
_atom_site_fract_x
_atom_site_fract_y
_atom_site_fract_z
Tb1 0.0000 0.0000 0.2089
Th1 0.0000 0.0000 0.5000
Th2 0.5000 0.5000 0.0000
P1 0.5000 0.5000 0.3369
# E_tot ... -6.614 eV per atom
# Calculated formation energy ... -0.794 eV/atom
# DOS at the Fermi energy ... 4.18 states/eV per cell
# Size of the total moment ... 0.00 μB/f.u.

# 8
# Tb2ThP (PBE-GGA, relaxed)
data_Tb2ThP
_chemical_formula_sum 'Tb6 Th3 P3'
_space_group_name_H-M_alt 'R -3 m'
_space_group_IT_number 166
_space_group_name_Hall '-R 3 2"'
_cell_length_a 3.7856
_cell_length_b 3.7856
_cell_length_c 27.5009
_cell_angle_alpha 90.00
_cell_angle_beta 90.00
_cell_angle_gamma 120.00
loop_
_atom_site_label
_atom_site_fract_x
_atom_site_fract_y
_atom_site_fract_z
Tb1 0.0000 0.0000 0.2277
Th1 0.0000 0.0000 0.0000
P1 0.0000 0.0000 0.5000
# E_tot ... -6.188 eV per atom
# Calculated formation energy ... -0.666 eV/atom
# DOS at the Fermi energy ... 13.15 states/eV per cell
# Size of the total moment ... 0.00 μB/f.u.

- Which formula does entry 4 have?
  TbTh5P6

- The lowest E_tot belongs to which entry?
  TbTh5P6

- Number 8 is which compound?
  Tb2ThP

- Which value of E_tot does entry 5 give?
  -7.525 eV per atom